Record 1
A plane-wave DFT calculation with PBE-GGA was carried out for a relaxed BeNb2Au crystal.

Geometry as POSCAR:
```
BeNb2Au
1.0
-1.868 1.868 9.921
1.868 -1.868 9.921
1.868 1.868 -9.921
Be Nb Au
2 4 2
Cartesian
0.000 0.000 0.000 Be
0.000 1.868 4.961 Be
2.802 0.900 -2.480 Nb
0.900 0.934 2.480 Nb
-0.934 0.968 7.441 Nb
0.968 0.934 12.401 Nb
1.868 0.000 4.961 Au
0.000 0.000 9.921 Au
```

Calculated density   9.40 g/cm3
Space-group type   I-42d (122)
Calculated formation energy   471 meV/atom
Calculated total energy   -6.315 eV/atom

Record 2
A plane-wave DFT calculation with PBE-GGA was carried out for a relaxed Sc2SnC crystal.

Geometry as POSCAR:
```
Sc2SnC
1.0
-3.426 3.426 3.358
3.426 -3.426 3.358
3.426 3.426 -3.358
Sc Sn C
4 2 2
Cartesian
5.138 1.086 -0.839 Sc
1.086 1.713 0.839 Sc
-1.713 2.340 2.518 Sc
2.340 1.713 4.197 Sc
3.426 0.000 1.679 Sn
0.000 0.000 3.358 Sn
0.000 0.000 0.000 C
0.000 3.426 1.679 C
```

Calculated density   4.65 g/cm3
Space-group type   I-42d (122)
Calculated formation energy   -184 meV/atom
Calculated total energy   -6.656 eV/atom

Record 3
A plane-wave DFT calculation with PBE-GGA was carried out for a relaxed TaZnPtAu crystal.

Geometry as POSCAR:
```
TaZnPtAu
1.0
0.000 3.213 3.213
3.213 0.000 3.213
3.213 3.213 0.000
Ta Zn Pt Au
1 1 1 1
Cartesian
0.000 0.000 0.000 Ta
3.213 3.213 3.213 Zn
1.607 1.607 1.607 Pt
4.820 4.820 4.820 Au
```

Calculated density   15.97 g/cm3
Space-group type   F-43m (216)
Calculated formation energy   -265 meV/atom
Calculated total energy   -5.877 eV/atom

Record 4
A plane-wave DFT calculation with PBE-GGA was carried out for a relaxed Sm4ScZn crystal.

Geometry as POSCAR:
```
Sm4ScZn
1.0
3.599 0.000 0.000
0.000 3.599 0.000
0.000 0.000 13.452
Sm Sc Zn
4 1 1
Cartesian
0.000 0.000 1.829 Sm
0.000 0.000 11.624 Sm
1.799 1.799 4.432 Sm
1.799 1.799 9.020 Sm
0.000 0.000 6.726 Sc
1.799 1.799 0.000 Zn
```

Calculated density   6.78 g/cm3
Space-group type   P4/mmm (123)
Calculated formation energy   -78 meV/atom
Calculated total energy   -4.492 eV/atom

Repeat the second record exactly.
A plane-wave DFT calculation with PBE-GGA was carried out for a relaxed Sc2SnC crystal.

Geometry as POSCAR:
```
Sc2SnC
1.0
-3.426 3.426 3.358
3.426 -3.426 3.358
3.426 3.426 -3.358
Sc Sn C
4 2 2
Cartesian
5.138 1.086 -0.839 Sc
1.086 1.713 0.839 Sc
-1.713 2.340 2.518 Sc
2.340 1.713 4.197 Sc
3.426 0.000 1.679 Sn
0.000 0.000 3.358 Sn
0.000 0.000 0.000 C
0.000 3.426 1.679 C
```

Calculated density   4.65 g/cm3
Space-group type   I-42d (122)
Calculated formation energy   -184 meV/atom
Calculated total energy   -6.656 eV/atom

What did the first record say?
A plane-wave DFT calculation with PBE-GGA was carried out for a relaxed BeNb2Au crystal.

Geometry as POSCAR:
```
BeNb2Au
1.0
-1.868 1.868 9.921
1.868 -1.868 9.921
1.868 1.868 -9.921
Be Nb Au
2 4 2
Cartesian
0.000 0.000 0.000 Be
0.000 1.868 4.961 Be
2.802 0.900 -2.480 Nb
0.900 0.934 2.480 Nb
-0.934 0.968 7.441 Nb
0.968 0.934 12.401 Nb
1.868 0.000 4.961 Au
0.000 0.000 9.921 Au
```

Calculated density   9.40 g/cm3
Space-group type   I-42d (122)
Calculated formation energy   471 meV/atom
Calculated total energy   -6.315 eV/atom

Q: Among the records above, which one has the highest calculated formation energy?
A: BeNb2Au

Q: Which value of calculated total energy does entry 3 give?
A: -5.877 eV/atom